(1)
Computed, not measured: an optimized crystal structure of Al3CuSi3 at the GGA-PBE level of DFT.

Cell: 7.409 6.925 4.700 Å, 90.00 90.00 117.76°
Atoms (fractional coordinates):
Al  0.778  0.945  0.250
Al  0.927  0.203  0.750
Si  0.119  0.643  0.750
Al  0.222  0.055  0.750
Si  0.881  0.357  0.250
Cu  0.606  0.300  0.750
Si  0.513  0.894  0.750
Si  0.487  0.106  0.250
Si  0.352  0.475  0.750
Al  0.790  0.730  0.750
Al  0.210  0.270  0.250
Cu  0.394  0.700  0.250
Al  0.073  0.797  0.250
Si  0.648  0.525  0.250

Properties
The theoretical density comes out at 3.560 g/cm³. The calculation puts the final energy at -0.158 hartree per atom. The total magnetic moment is 0.000 μB per atom. As for the energy relative to the elements, uncorrected: 0.204 eV/atom. As for the density of states at the Fermi level: 0.308 states/eV per atom.



(2)
Computed, not measured: an optimized crystal structure of NaAgRhSe2 at the GGA-PBE level of DFT.

Cell: 4.843 5.136 4.843 Å, 90.00 90.00 90.00°
Atoms (fractional coordinates):
Ag  0.500  0.500  0.500
Rh  0.000  0.000  0.000
Se  0.500  0.000  0.000
Se  0.000  0.000  0.500
Na  0.000  0.500  0.000

Properties
The theoretical density comes out at 5.400 g/cm³. The calculation puts the final energy at -0.130 hartree per atom. The total magnetic moment is 0.000 μB per atom. As for the energy relative to the elements, uncorrected: 0.155 eV/atom. As for the density of states at the Fermi level: 0.976 states/eV per atom.



(3)
Computed, not measured: an optimized crystal structure of PmPr2Gd at the GGA-PBE level of DFT.

Cell: 5.829 5.829 5.829 Å, 60.00 60.00 60.00°
Last column: magnetic moment on the atom in μB.
Atoms (fractional coordinates):
Pr  0.750  0.750  0.750  0.16
Pm  0.500  0.500  0.500  0.11
Gd  0.000  0.000  0.000  7.31
Pr  0.250  0.250  0.250  0.16

Properties
The theoretical density comes out at 6.926 g/cm³. The calculation puts the final energy at -0.257 hartree per atom. As for the formation energy: 113.4 meV/atom. The total magnetic moment is 2.126 μB per atom. As for the density of states at the Fermi level: 2.164 states/eV per atom.



(4)
Computed, not measured: an optimized crystal structure of PmDy2Y3Bi6 at the GGA-PBE level of DFT.

Cell: 4.497 8.994 10.053 Å, 102.86 102.92 90.00°
Atoms (fractional coordinates):
Y  0.500  0.500  0.000
Dy  0.833  0.666  0.666
Y  0.166  0.833  0.331
Bi  0.001  0.255  0.001
Dy  0.167  0.334  0.334
Bi  0.331  0.915  0.663
Y  0.834  0.167  0.669
Bi  0.669  0.085  0.337
Bi  0.999  0.745  0.999
Bi  0.333  0.417  0.666
Pm  0.500  0.000  0.000
Bi  0.667  0.583  0.334

Properties
The theoretical density comes out at 8.567 g/cm³. The calculation puts the final energy at -0.206 hartree per atom. As for the formation energy: -890.7 meV/atom. The total magnetic moment is 0.000 μB per atom. As for the density of states at the Fermi level: 0.169 states/eV per atom.



(5)
Computed, not measured: an optimized crystal structure of CaBeSCl2 at the GGA-PBE level of DFT.

Cell: 5.109 5.109 5.636 Å, 90.00 90.00 90.00°
Atoms (fractional coordinates):
Ca  0.000  0.000  0.000
Be  0.500  0.500  0.500
Cl  0.500  0.000  0.000
S  0.000  0.000  0.500
Cl  0.000  0.500  0.000

Properties
The theoretical density comes out at 1.716 g/cm³. The calculation puts the final energy at -0.110 hartree per atom. The total magnetic moment is 0.000 μB per atom. As for the energy relative to the elements, uncorrected: -0.289 eV/atom. As for the density of states at the Fermi level: 0.705 states/eV per atom.



(6)
Computed, not measured: an optimized crystal structure of SmRhSe at the GGA-PBE level of DFT.

Cell: 3.768 4.336 4.336 Å, 120.00 90.00 90.00°
Atoms (fractional coordinates):
Sm  0.665  0.667  0.333
Se  0.156  0.000  0.000
Rh  0.179  0.333  0.667

Properties
The theoretical density comes out at 8.992 g/cm³. The calculation puts the final energy at -0.234 hartree per atom. The total magnetic moment is 0.000 μB per atom. As for the energy relative to the elements, uncorrected: -1.183 eV/atom. As for the density of states at the Fermi level: 0.187 states/eV per atom.



(7)
Computed, not measured: an optimized crystal structure of AlAgP2 at the GGA-PBE level of DFT.

Cell: 3.631 3.632 5.158 Å, 90.00 90.00 90.00°
Atoms (fractional coordinates):
P  0.500  0.500  0.375
Ag  0.000  0.000  0.375
Al  0.500  0.500  0.875
P  0.000  0.000  0.875

Properties
The theoretical density comes out at 4.803 g/cm³. The calculation puts the final energy at -0.159 hartree per atom. As for the formation energy: 38.7 meV/atom. The total magnetic moment is 0.000 μB per atom. As for the density of states at the Fermi level: 0.501 states/eV per atom.



(8)
Computed, not measured: an optimized crystal structure of Ge2S at the GGA-PBE level of DFT.

Cell: 10.707 4.078 9.927 Å, 90.00 138.09 90.00°
Atoms (fractional coordinates):
Ge  0.823  0.263  0.113
Ge  0.677  0.763  0.887
S  0.250  0.472  0.750
Ge  0.177  0.237  0.387
S  0.250  0.972  0.250
S  0.750  0.028  0.750
Ge  0.323  0.237  0.113
Ge  0.177  0.737  0.887
S  0.750  0.528  0.250
Ge  0.823  0.763  0.613
Ge  0.323  0.737  0.613
Ge  0.677  0.263  0.387

Properties
The theoretical density comes out at 4.069 g/cm³. The calculation puts the final energy at -0.165 hartree per atom. The total magnetic moment is 0.000 μB per atom. As for the energy relative to the elements, uncorrected: -0.034 eV/atom. As for the density of states at the Fermi level: 0.088 states/eV per atom.



> Which value of final energy does entry 5 give?

-0.110 hartree per atom



> Which of these has the highest final energy?

CaBeSCl2